(1)
A plane-wave DFT calculation with PBE was carried out for a geometry-optimized Pa2Fe12Si7 structure.

Lattice parameters (Å, degrees): 9.153 9.153 3.714 90.00 90.00 120.00
Positions (direct):
Pa: 0.000 0.000 0.000
Pa: 0.333 0.667 0.500
Fe: 0.038 0.277 0.500
Fe: 0.106 0.714 0.000
Fe: 0.239 0.962 0.500
Fe: 0.286 0.392 0.000
Fe: 0.383 0.184 0.000
Fe: 0.558 0.435 0.500
Fe: 0.565 0.123 0.500
Fe: 0.608 0.894 0.000
Fe: 0.723 0.761 0.500
Fe: 0.800 0.617 0.000
Fe: 0.816 0.200 0.000
Fe: 0.877 0.442 0.500
Si: 0.062 0.446 0.000
Si: 0.268 0.235 0.500
Si: 0.384 0.938 0.000
Si: 0.554 0.616 0.000
Si: 0.667 0.333 0.000
Si: 0.765 0.033 0.500
Si: 0.967 0.732 0.500

Summary:
- Volume: 269.5 Å³/f.u.
- Symmetry: P-6, No. 174

***

(2)
A plane-wave DFT calculation with PBE was carried out for a geometry-optimized PaFe3Si7 structure.

Lattice parameters (Å, degrees): 7.664 7.664 7.664 57.41 57.41 57.41
Positions (direct):
Pa: 0.000 0.000 0.000
Pa: 0.500 0.500 0.500
Fe: 0.079 0.750 0.421
Fe: 0.250 0.579 0.921
Fe: 0.421 0.079 0.750
Fe: 0.579 0.921 0.250
Fe: 0.750 0.421 0.079
Fe: 0.921 0.250 0.579
Si: 0.071 0.854 0.661
Si: 0.146 0.339 0.929
Si: 0.161 0.354 0.571
Si: 0.250 0.250 0.250
Si: 0.339 0.929 0.146
Si: 0.354 0.571 0.161
Si: 0.429 0.839 0.646
Si: 0.571 0.161 0.354
Si: 0.646 0.429 0.839
Si: 0.661 0.071 0.854
Si: 0.750 0.750 0.750
Si: 0.839 0.646 0.429
Si: 0.854 0.661 0.071
Si: 0.929 0.146 0.339

Summary:
- Volume: 149.7 Å³/f.u.
- Symmetry: R-3c, No. 167

***

(3)
A plane-wave DFT calculation with PBE was carried out for a geometry-optimized PaFe5Si3 structure.

Lattice parameters (Å, degrees): 6.413 6.413 10.434 90.00 90.00 144.77
Positions (direct):
Pa: 0.219 0.781 0.750
Pa: 0.781 0.219 0.250
Fe: 0.000 0.000 0.000
Fe: 0.000 0.000 0.500
Fe: 0.187 0.813 0.064
Fe: 0.187 0.813 0.436
Fe: 0.464 0.536 0.637
Fe: 0.464 0.536 0.863
Fe: 0.536 0.464 0.137
Fe: 0.536 0.464 0.363
Fe: 0.813 0.187 0.564
Fe: 0.813 0.187 0.936
Si: 0.082 0.918 0.250
Si: 0.366 0.634 0.048
Si: 0.366 0.634 0.452
Si: 0.634 0.366 0.548
Si: 0.634 0.366 0.952
Si: 0.918 0.082 0.750

Summary:
- Volume: 123.7 Å³/f.u.
- Symmetry: Cmcm, No. 63

***

(4)
A plane-wave DFT calculation with PBE was carried out for a geometry-optimized PaFe5Si2 structure.

Lattice parameters (Å, degrees): 6.145 6.145 6.145 149.47 111.42 76.91
Positions (direct):
Pa: 0.000 0.000 0.000
Fe: 0.159 0.356 0.803
Fe: 0.448 0.644 0.803
Fe: 0.500 0.000 0.500
Fe: 0.552 0.356 0.197
Fe: 0.841 0.644 0.197
Si: 0.254 0.754 0.500
Si: 0.746 0.246 0.500

Summary:
- Volume: 107.8 Å³/f.u.
- Symmetry: Immm, No. 71

***

Calculated E_form (uncorrected) in order - -0.437, -0.497, -0.415, -0.314 eV per atom